DFT (PBE) results for a relaxed structure of CeMnGe2Ru.

The structure in CIF format:
```
data_CeMnGe2Ru
_chemical_formula_sum 'Ce1 Mn1 Ge2 Ru1'
_symmetry_space_group_name_H-M 'P 1'
_symmetry_Int_Tables_number 1
_symmetry_space_group_name_Hall 'P 1'
_cell_length_a 6.090
_cell_length_b 6.090
_cell_length_c 6.090
_cell_angle_alpha 140.69
_cell_angle_beta 140.69
_cell_angle_gamma 56.81
loop_
_atom_site_label
_atom_site_fract_x
_atom_site_fract_y
_atom_site_fract_z
Ce1 0.000 0.000 0.000
Mn1 0.750 0.250 0.500
Ge1 0.379 0.379 0.000
Ge2 0.621 0.621 0.000
Ru1 0.250 0.750 0.500
```

Summary:
* energy relative to the elements: -0.552 eV/atom
* space group: No. 119
* calculated total energy: -7.28 eV per atom
* N(E_F): 4.8 states/eV/f.u.
* volume: 17.99 Å³/atom



DFT (PBE) results for a relaxed structure of CeTaMnGe2.

The structure in CIF format:
```
data_CeTaMnGe2
_chemical_formula_sum 'Ce1 Ta1 Mn1 Ge2'
_symmetry_space_group_name_H-M 'P 1'
_symmetry_Int_Tables_number 1
_symmetry_space_group_name_Hall 'P 1'
_cell_length_a 6.525
_cell_length_b 6.525
_cell_length_c 6.525
_cell_angle_alpha 144.17
_cell_angle_beta 144.17
_cell_angle_gamma 51.57
loop_
_atom_site_label
_atom_site_fract_x
_atom_site_fract_y
_atom_site_fract_z
Ce1 0.000 0.000 0.000
Ta1 0.250 0.750 0.500
Mn1 0.750 0.250 0.500
Ge1 0.390 0.390 0.000
Ge2 0.610 0.610 0.000
```

Summary:
* energy relative to the elements: -0.418 eV/atom
* space group: No. 119
* calculated total energy: -7.66 eV per atom
* N(E_F): 6.6 states/eV/f.u.
* volume: 18.93 Å³/atom



DFT (PBE) results for a relaxed structure of CeMnTcGe3.

The structure in CIF format:
```
data_CeMnTcGe3
_chemical_formula_sum 'Ce2 Mn2 Tc2 Ge6'
_symmetry_space_group_name_H-M 'P 1'
_symmetry_Int_Tables_number 1
_symmetry_space_group_name_Hall 'P 1'
_cell_length_a 6.564
_cell_length_b 6.564
_cell_length_c 5.811
_cell_angle_alpha 90.00
_cell_angle_beta 90.00
_cell_angle_gamma 108.41
loop_
_atom_site_label
_atom_site_fract_x
_atom_site_fract_y
_atom_site_fract_z
Ce1 0.241 0.759 0.750
Ce2 0.759 0.241 0.250
Mn1 0.031 0.969 0.250
Mn2 0.969 0.031 0.750
Tc1 0.459 0.541 0.250
Tc2 0.541 0.459 0.750
Ge1 0.241 0.759 0.250
Ge2 0.242 0.242 0.000
Ge3 0.242 0.242 0.500
Ge4 0.758 0.758 0.000
Ge5 0.758 0.758 0.500
Ge6 0.759 0.241 0.750
```

Summary:
* energy relative to the elements: -0.162 eV/atom
* space group: No. 63
* calculated total energy: -6.72 eV per atom
* N(E_F): 8.0 states/eV/f.u.
* volume: 19.80 Å³/atom



DFT (PBE) results for a relaxed structure of CeMnTcGe2.

The structure in CIF format:
```
data_CeMnTcGe2
_chemical_formula_sum 'Ce1 Mn1 Tc1 Ge2'
_symmetry_space_group_name_H-M 'P 1'
_symmetry_Int_Tables_number 1
_symmetry_space_group_name_Hall 'P 1'
_cell_length_a 6.147
_cell_length_b 6.147
_cell_length_c 6.147
_cell_angle_alpha 141.08
_cell_angle_beta 141.08
_cell_angle_gamma 56.22
loop_
_atom_site_label
_atom_site_fract_x
_atom_site_fract_y
_atom_site_fract_z
Ce1 0.000 0.000 0.000
Mn1 0.250 0.750 0.500
Tc1 0.750 0.250 0.500
Ge1 0.380 0.380 0.000
Ge2 0.620 0.620 0.000
```

Summary:
* energy relative to the elements: -0.458 eV/atom
* space group: No. 119
* calculated total energy: -7.40 eV per atom
* N(E_F): 5.8 states/eV/f.u.
* volume: 18.19 Å³/atom



DFT (PBE) results for a relaxed structure of CeTiMnGe2.

The structure in CIF format:
```
data_CeTiMnGe2
_chemical_formula_sum 'Ce1 Ti1 Mn1 Ge2'
_symmetry_space_group_name_H-M 'P 1'
_symmetry_Int_Tables_number 1
_symmetry_space_group_name_Hall 'P 1'
_cell_length_a 6.354
_cell_length_b 6.354
_cell_length_c 6.354
_cell_angle_alpha 142.77
_cell_angle_beta 142.77
_cell_angle_gamma 53.68
loop_
_atom_site_label
_atom_site_fract_x
_atom_site_fract_y
_atom_site_fract_z
Ce1 0.000 0.000 0.000
Ti1 0.250 0.750 0.500
Mn1 0.750 0.250 0.500
Ge1 0.388 0.388 0.000
Ge2 0.612 0.612 0.000
```

Summary:
* energy relative to the elements: -0.564 eV/atom
* space group: No. 119
* calculated total energy: -7.01 eV per atom
* N(E_F): 5.8 states/eV/f.u.
* volume: 18.67 Å³/atom



DFT (PBE) results for a relaxed structure of CeMnVGe2.

The structure in CIF format:
```
data_CeMnVGe2
_chemical_formula_sum 'Ce1 Mn1 V1 Ge2'
_symmetry_space_group_name_H-M 'P 1'
_symmetry_Int_Tables_number 1
_symmetry_space_group_name_Hall 'P 1'
_cell_length_a 6.204
_cell_length_b 6.204
_cell_length_c 6.204
_cell_angle_alpha 141.75
_cell_angle_beta 141.75
_cell_angle_gamma 55.21
loop_
_atom_site_label
_atom_site_fract_x
_atom_site_fract_y
_atom_site_fract_z
Ce1 0.000 0.000 0.000
Mn1 0.250 0.750 0.500
V1 0.750 0.250 0.500
Ge1 0.384 0.384 0.000
Ge2 0.616 0.616 0.000
```

Summary:
* energy relative to the elements: -0.456 eV/atom
* space group: No. 119
* calculated total energy: -7.15 eV per atom
* N(E_F): 7.1 states/eV/f.u.
* volume: 18.18 Å³/atom



DFT (PBE) results for a relaxed structure of CeMnZnGe2.

The structure in CIF format:
```
data_CeMnZnGe2
_chemical_formula_sum 'Ce1 Mn1 Zn1 Ge2'
_symmetry_space_group_name_H-M 'P 1'
_symmetry_Int_Tables_number 1
_symmetry_space_group_name_Hall 'P 1'
_cell_length_a 6.253
_cell_length_b 6.253
_cell_length_c 6.253
_cell_angle_alpha 141.83
_cell_angle_beta 141.83
_cell_angle_gamma 55.08
loop_
_atom_site_label
_atom_site_fract_x
_atom_site_fract_y
_atom_site_fract_z
Ce1 0.000 0.000 0.000
Mn1 0.250 0.750 0.500
Zn1 0.750 0.250 0.500
Ge1 0.384 0.384 0.000
Ge2 0.616 0.616 0.000
```

Summary:
* energy relative to the elements: -0.412 eV/atom
* space group: No. 119
* calculated total energy: -5.53 eV per atom
* N(E_F): 7.6 states/eV/f.u.
* volume: 18.54 Å³/atom



DFT (PBE) results for a relaxed structure of CeGe3Mo.

The structure in CIF format:
```
data_CeGe3Mo
_chemical_formula_sum 'Ce1 Ge3 Mo1'
_symmetry_space_group_name_H-M 'P 1'
_symmetry_Int_Tables_number 1
_symmetry_space_group_name_Hall 'P 1'
_cell_length_a 6.228
_cell_length_b 6.228
_cell_length_c 6.228
_cell_angle_alpha 138.65
_cell_angle_beta 138.65
_cell_angle_gamma 59.91
loop_
_atom_site_label
_atom_site_fract_x
_atom_site_fract_y
_atom_site_fract_z
Ce1 0.000 0.000 0.000
Ge1 0.286 0.786 0.500
Ge2 0.453 0.453 0.000
Ge3 0.786 0.286 0.500
Mo1 0.678 0.678 0.000
```

Summary:
* energy relative to the elements: -0.274 eV/atom
* space group: No. 107
* calculated total energy: -6.40 eV per atom
* N(E_F): 4.3 states/eV/f.u.
* volume: 20.87 Å³/atom



DFT (PBE) results for a relaxed structure of Ce2Ge4Mo3.

The structure in CIF format:
```
data_Ce2Ge4Mo3
_chemical_formula_sum 'Ce4 Ge8 Mo6'
_symmetry_space_group_name_H-M 'P 1'
_symmetry_Int_Tables_number 1
_symmetry_space_group_name_Hall 'P 1'
_cell_length_a 7.070
_cell_length_b 7.091
_cell_length_c 7.056
_cell_angle_alpha 90.00
_cell_angle_beta 110.00
_cell_angle_gamma 90.00
loop_
_atom_site_label
_atom_site_fract_x
_atom_site_fract_y
_atom_site_fract_z
Ce1 0.188 0.167 0.054
Ce2 0.188 0.333 0.554
Ce3 0.812 0.667 0.446
Ce4 0.812 0.833 0.946
Ge1 0.096 0.550 0.866
Ge2 0.096 0.950 0.366
Ge3 0.492 0.640 0.635
Ge4 0.492 0.860 0.135
Ge5 0.508 0.140 0.865
Ge6 0.508 0.360 0.365
Ge7 0.904 0.050 0.634
Ge8 0.904 0.450 0.134
Mo1 0.249 0.655 0.253
Mo2 0.249 0.845 0.753
Mo3 0.500 0.000 0.500
Mo4 0.500 0.500 0.000
Mo5 0.751 0.155 0.247
Mo6 0.751 0.345 0.747
```

Summary:
* energy relative to the elements: -0.467 eV/atom
* space group: No. 14
* calculated total energy: -7.45 eV per atom
* N(E_F): 9.5 states/eV/f.u.
* volume: 18.47 Å³/atom



DFT (PBE) results for a relaxed structure of Ce2Ge6Mo.

The structure in CIF format:
```
data_Ce2Ge6Mo
_chemical_formula_sum 'Ce2 Ge6 Mo1'
_symmetry_space_group_name_H-M 'P 1'
_symmetry_Int_Tables_number 1
_symmetry_space_group_name_Hall 'P 1'
_cell_length_a 6.953
_cell_length_b 6.953
_cell_length_c 4.144
_cell_angle_alpha 90.00
_cell_angle_beta 90.00
_cell_angle_gamma 109.66
loop_
_atom_site_label
_atom_site_fract_x
_atom_site_fract_y
_atom_site_fract_z
Ce1 0.242 0.758 0.000
Ce2 0.758 0.242 0.000
Ge1 0.126 0.407 0.500
Ge2 0.252 0.252 0.000
Ge3 0.407 0.126 0.500
Ge4 0.593 0.874 0.500
Ge5 0.748 0.748 0.000
Ge6 0.874 0.593 0.500
Mo1 0.000 0.000 0.500
```

Summary:
* energy relative to the elements: -0.262 eV/atom
* space group: No. 65
* calculated total energy: -5.86 eV per atom
* N(E_F): 9.8 states/eV/f.u.
* volume: 20.97 Å³/atom



DFT (PBE) results for a relaxed structure of Ce4Ge8Mo.

The structure in CIF format:
```
data_Ce4Ge8Mo
_chemical_formula_sum 'Ce4 Ge8 Mo1'
_symmetry_space_group_name_H-M 'P 1'
_symmetry_Int_Tables_number 1
_symmetry_space_group_name_Hall 'P 1'
_cell_length_a 4.052
_cell_length_b 4.215
_cell_length_c 16.705
_cell_angle_alpha 90.00
_cell_angle_beta 90.00
_cell_angle_gamma 90.00
loop_
_atom_site_label
_atom_site_fract_x
_atom_site_fract_y
_atom_site_fract_z
Ce1 0.000 0.000 0.000
Ce2 0.000 0.500 0.481
Ce3 0.500 0.000 0.778
Ce4 0.500 0.500 0.277
Ge1 0.000 0.000 0.327
Ge2 0.000 0.000 0.614
Ge3 0.000 0.500 0.137
Ge4 0.000 0.500 0.856
Ge5 0.500 0.000 0.141
Ge6 0.500 0.000 0.427
Ge7 0.500 0.500 0.612
Ge8 0.500 0.500 0.952
Mo1 0.000 0.500 0.705
```

Summary:
* energy relative to the elements: -0.490 eV/atom
* space group: No. 25
* calculated total energy: -5.99 eV per atom
* N(E_F): 16.0 states/eV/f.u.
* volume: 21.95 Å³/atom



DFT (PBE) results for a relaxed structure of Ce2GeMo.

The structure in CIF format:
```
data_Ce2GeMo
_chemical_formula_sum 'Ce2 Ge1 Mo1'
_symmetry_space_group_name_H-M 'P 1'
_symmetry_Int_Tables_number 1
_symmetry_space_group_name_Hall 'P 1'
_cell_length_a 4.510
_cell_length_b 4.510
_cell_length_c 4.175
_cell_angle_alpha 90.00
_cell_angle_beta 90.00
_cell_angle_gamma 90.00
loop_
_atom_site_label
_atom_site_fract_x
_atom_site_fract_y
_atom_site_fract_z
Ce1 0.000 0.500 0.000
Ce2 0.500 0.000 0.000
Ge1 0.000 0.000 0.500
Mo1 0.500 0.500 0.500
```

Summary:
* energy relative to the elements: -0.190 eV/atom
* space group: No. 123
* calculated total energy: -7.02 eV per atom
* N(E_F): 6.8 states/eV/f.u.
* volume: 21.23 Å³/atom



DFT (PBE) results for a relaxed structure of CeGeMo.

The structure in CIF format:
```
data_CeGeMo
_chemical_formula_sum 'Ce1 Ge1 Mo1'
_symmetry_space_group_name_H-M 'P 1'
_symmetry_Int_Tables_number 1
_symmetry_space_group_name_Hall 'P 1'
_cell_length_a 4.411
_cell_length_b 4.411
_cell_length_c 3.818
_cell_angle_alpha 90.00
_cell_angle_beta 90.00
_cell_angle_gamma 120.00
loop_
_atom_site_label
_atom_site_fract_x
_atom_site_fract_y
_atom_site_fract_z
Ce1 0.000 0.000 0.000
Ge1 0.333 0.667 0.500
Mo1 0.667 0.333 0.500
```

Summary:
* energy relative to the elements: -0.131 eV/atom
* space group: No. 187
* calculated total energy: -7.26 eV per atom
* N(E_F): 4.0 states/eV/f.u.
* volume: 21.44 Å³/atom



DFT (PBE) results for a relaxed structure of CeGeMo.

The structure in CIF format:
```
data_CeGeMo
_chemical_formula_sum 'Ce2 Ge2 Mo2'
_symmetry_space_group_name_H-M 'P 1'
_symmetry_Int_Tables_number 1
_symmetry_space_group_name_Hall 'P 1'
_cell_length_a 3.981
_cell_length_b 3.981
_cell_length_c 7.944
_cell_angle_alpha 90.00
_cell_angle_beta 90.00
_cell_angle_gamma 90.00
loop_
_atom_site_label
_atom_site_fract_x
_atom_site_fract_y
_atom_site_fract_z
Ce1 0.250 0.250 0.143
Ce2 0.750 0.750 0.857
Ge1 0.250 0.250 0.727
Ge2 0.750 0.750 0.273
Mo1 0.250 0.750 0.500
Mo2 0.750 0.250 0.500
```

Summary:
* energy relative to the elements: -0.351 eV/atom
* space group: No. 129
* calculated total energy: -7.48 eV per atom
* N(E_F): 6.5 states/eV/f.u.
* volume: 20.99 Å³/atom